1.
NaTl2In2Pb6: relaxed, PBE-GGA.

Cell and atoms, written as POSCAR:
```
NaTl2In2Pb6
1.0
5.158 0.000 0.000
-0.048 8.017 0.000
-2.555 -3.038 8.032
Na Tl In Pb
1 2 2 6
direct
0.000 0.000 0.000
0.096 0.455 0.187
0.904 0.545 0.813
0.277 0.362 0.552
0.723 0.638 0.448
0.179 0.913 0.355
0.351 0.806 0.706
0.455 0.272 0.913
0.545 0.728 0.087
0.649 0.194 0.294
0.821 0.087 0.645
```

Computed properties:
Energy   -3.09 eV/atom
ΔE_f   -0.0223 eV/atom
Symmetry   P-1 (2)
Crystal system   triclinic

---

2.
MgTeCl2: relaxed, PBE-GGA.

Cell and atoms, written as POSCAR:
```
MgTeCl2
1.0
0.000 3.627 3.627
3.627 0.000 3.627
3.627 3.627 0.000
Mg Te Cl
1 1 2
direct
0.000 0.000 0.000
0.750 0.750 0.750
0.250 0.250 0.250
0.500 0.500 0.500
```

Computed properties:
Energy relative to the lowest polymorph listed for this composition   957 meV/atom
Formation energy (no corrections)   -0.24 eV per atom
Energy   -2.34 eV/atom
Symmetry   F-43m (216)
Crystal system   cubic

---

3.
CeGdAlAg: relaxed, PBE-GGA.

Cell and atoms, written as POSCAR:
```
CeGdAlAg
1.0
0.000 3.702 3.702
3.702 0.000 3.702
3.702 3.702 0.000
Ce Gd Al Ag
1 1 1 1
direct
0.000 0.000 0.000
0.500 0.500 0.500
0.250 0.250 0.250
0.750 0.750 0.750
```

Computed properties:
Energy   -6.87 eV/atom
ΔE_f   -0.2176 eV/atom
Symmetry   F-43m (216)
Crystal system   cubic

---

4.
Tm5Cu2Au: relaxed, PBE-GGA.

Cell and atoms, written as POSCAR:
```
Tm5Cu2Au
1.0
-3.540 3.540 7.517
3.540 -3.540 7.517
3.540 3.540 -7.517
Tm Cu Au
10 4 2
direct
0.000 0.000 0.000
0.022 0.522 0.839
0.183 0.022 0.500
0.317 0.817 0.839
0.478 0.317 0.500
0.500 0.500 0.000
0.522 0.683 0.500
0.683 0.183 0.161
0.817 0.978 0.500
0.978 0.478 0.161
0.125 0.375 0.500
0.375 0.875 0.250
0.625 0.125 0.750
0.875 0.625 0.500
0.250 0.250 0.000
0.750 0.750 0.000
```

Computed properties:
Energy   -4.59 eV/atom
ΔE_f   -0.3595 eV/atom
Symmetry   I4/mcm (140)
Crystal system   tetragonal

---

5.
MgTlSbTe2: relaxed, PBE-GGA.

Cell and atoms, written as POSCAR:
```
MgTlSbTe2
1.0
5.841 0.000 0.000
0.000 5.841 0.000
0.000 0.000 5.609
Mg Tl Sb Te
1 1 1 2
direct
0.000 0.000 0.000
0.500 0.500 0.500
0.500 0.500 0.000
0.000 0.500 0.500
0.500 0.000 0.500
```

Computed properties:
Energy relative to the lowest polymorph listed for this composition   530 meV/atom
Formation energy (no corrections)   0.64 eV per atom
Energy   -2.23 eV/atom
Symmetry   P4/mmm (123)
Crystal system   tetragonal

---

6.
VCoSiIr: relaxed, PBE-GGA.

Cell and atoms, written as POSCAR:
```
VCoSiIr
1.0
0.000 2.946 2.946
2.946 0.000 2.946
2.946 2.946 0.000
V Co Si Ir
1 1 1 1
direct
0.000 0.000 0.000
0.750 0.750 0.750
0.500 0.500 0.500
0.250 0.250 0.250
```

Computed properties:
Formation energy (no corrections)   -0.41 eV per atom
Energy   -8.04 eV/atom
Symmetry   F-43m (216)
Crystal system   cubic